The following is a DFT calculation (PBE with a Hubbard U) of a relaxed structure of Li4MnFe3B4O12.

Cell and atoms, written as extended XYZ:
```
24
Lattice="5.233 0.000 0.000 -0.130 5.998 0.000 -0.089 -1.834 7.967" Properties=species:S:1:pos:R:3 pbc="T T T"
Li 0.000 0.000 0.000
Li 0.820 1.817 7.511
Li 2.500 2.055 4.024
Li 3.552 -0.291 3.561
Mn 2.661 1.117 1.139
Fe -0.109 3.171 5.075
Fe 0.804 4.624 2.432
Fe 3.440 0.704 6.414
B 0.018 1.684 2.547
B 0.806 0.089 5.011
B 2.521 3.775 6.490
B 3.410 4.037 1.017
O 0.066 -0.825 4.241
O 0.134 0.914 5.916
O 0.654 0.860 1.627
O 0.773 2.604 3.299
O 1.158 3.646 6.667
O 2.164 0.216 4.828
O 2.664 3.136 0.240
O 2.737 4.844 1.939
O 3.202 2.946 5.595
O 3.388 -1.308 7.251
O 3.892 1.575 2.775
O 4.768 4.153 0.836
```

## Properties
SG = P1 (1)
total energy = -7.011 eV per atom